# MgNiGe2O6 (meta-GGA SCAN, PBEsol geometry)
data_MgNiGe2O6
_chemical_formula_sum 'Mg4 Ni4 Ge8 O24'
_cell_length_a 9.5863
_cell_length_b 8.8366
_cell_length_c 5.1451
_cell_angle_alpha 90.00
_cell_angle_beta 100.54
_cell_angle_gamma 90.00
_symmetry_space_group_name_H-M 'C 1 2/c 1'
_symmetry_Int_Tables_number 15
_symmetry_space_group_name_Hall '-C 2yc'
loop_
_atom_site_label
_atom_site_type_symbol
_atom_site_fract_x
_atom_site_fract_y
_atom_site_fract_z
Mg1 Mg 0.0000 0.2331 0.2500
Ni1 Ni 0.0000 0.4098 0.7500
Ge1 Ge 0.1992 0.0959 0.7953
O1 O 0.1145 0.4108 0.1274
O2 O 0.1178 0.2476 0.6197
O3 O 0.1367 0.0711 0.1038
# * N(E_F): 0.00 states/eV per cell
# * crystal system: monoclinic
# * raw formation energy: -1.993 eV/atom

=====

# Cr2NiMo (meta-GGA SCAN, PBEsol geometry)
data_Cr2NiMo
_chemical_formula_sum 'Cr6 Ni3 Mo3'
_cell_length_a 2.5564
_cell_length_b 2.5564
_cell_length_c 26.1169
_cell_angle_alpha 90.00
_cell_angle_beta 90.00
_cell_angle_gamma 120.00
_symmetry_space_group_name_H-M 'R -3 m'
_symmetry_Int_Tables_number 166
_symmetry_space_group_name_Hall '-R 3 2"'
loop_
_atom_site_label
_atom_site_type_symbol
_atom_site_fract_x
_atom_site_fract_y
_atom_site_fract_z
Cr1 Cr 0.0000 0.0000 0.2436
Ni1 Ni 0.0000 0.0000 0.5000
Mo1 Mo 0.0000 0.0000 0.0000
# * N(E_F): 14.72 states/eV per cell
# * crystal system: trigonal
# * formation energy: 42.3 kJ per mole of atoms

=====

# AlCr2Mo (meta-GGA SCAN, PBEsol geometry)
data_AlCr2Mo
_chemical_formula_sum 'Al1 Cr2 Mo1'
_cell_length_a 4.1498
_cell_length_b 4.1498
_cell_length_c 3.0711
_cell_angle_alpha 90.00
_cell_angle_beta 90.00
_cell_angle_gamma 90.00
_symmetry_space_group_name_H-M 'P 4/m m m'
_symmetry_Int_Tables_number 123
_symmetry_space_group_name_Hall '-P 4 2'
loop_
_atom_site_label
_atom_site_type_symbol
_atom_site_fract_x
_atom_site_fract_y
_atom_site_fract_z
Al1 Al 0.0000 0.0000 0.0000
Cr1 Cr 0.0000 0.5000 0.5000
Mo1 Mo 0.5000 0.5000 0.0000
# * N(E_F): 0.64 states/eV per cell
# * crystal system: tetragonal
# * formation energy: -16.9 kJ per mole of atoms

=====

# GeSb2Te4 (meta-GGA SCAN, PBEsol geometry)
data_GeSb2Te4
_chemical_formula_sum 'Ge3 Sb6 Te12'
_cell_length_a 4.2454
_cell_length_b 4.2454
_cell_length_c 40.1282
_cell_angle_alpha 90.00
_cell_angle_beta 90.00
_cell_angle_gamma 120.00
_symmetry_space_group_name_H-M 'R -3 m'
_symmetry_Int_Tables_number 166
_symmetry_space_group_name_Hall '-R 3 2"'
loop_
_atom_site_label
_atom_site_type_symbol
_atom_site_fract_x
_atom_site_fract_y
_atom_site_fract_z
Ge1 Ge 0.0000 0.0000 0.0000
Sb1 Sb 0.0000 0.0000 0.4241
Te1 Te 0.0000 0.0000 0.1335
Te2 Te 0.0000 0.0000 0.2920
# * N(E_F): 0.18 states/eV per cell
# * crystal system: trigonal
# * raw formation energy: -0.086 eV/atom

=====

# HoErAg2 (meta-GGA SCAN, PBEsol geometry)
data_HoErAg2
_chemical_formula_sum 'Ho4 Er4 Ag8'
_cell_length_a 7.0864
_cell_length_b 7.0864
_cell_length_c 7.0864
_cell_angle_alpha 90.00
_cell_angle_beta 90.00
_cell_angle_gamma 90.00
_symmetry_space_group_name_H-M 'F m -3 m'
_symmetry_Int_Tables_number 225
_symmetry_space_group_name_Hall '-F 4 2 3'
loop_
_atom_site_label
_atom_site_type_symbol
_atom_site_fract_x
_atom_site_fract_y
_atom_site_fract_z
Ho1 Ho 0.0000 0.0000 0.0000
Er1 Er 0.0000 0.0000 0.5000
Ag1 Ag 0.2500 0.2500 0.2500
# * N(E_F): 8.20 states/eV per cell
# * crystal system: cubic
# * formation energy: -38.2 kJ per mole of atoms

=====

# BaZn2Ni (meta-GGA SCAN, PBEsol geometry)
data_BaZn2Ni
_chemical_formula_sum 'Ba4 Zn8 Ni4'
_cell_length_a 6.9602
_cell_length_b 6.9602
_cell_length_c 6.9602
_cell_angle_alpha 90.00
_cell_angle_beta 90.00
_cell_angle_gamma 90.00
_symmetry_space_group_name_H-M 'F m -3 m'
_symmetry_Int_Tables_number 225
_symmetry_space_group_name_Hall '-F 4 2 3'
loop_
_atom_site_label
_atom_site_type_symbol
_atom_site_fract_x
_atom_site_fract_y
_atom_site_fract_z
Ba1 Ba 0.0000 0.0000 0.0000
Zn1 Zn 0.2500 0.2500 0.2500
Ni1 Ni 0.0000 0.0000 0.5000
# * N(E_F): 14.17 states/eV per cell
# * crystal system: cubic
# * formation energy: 37.8 kJ per mole of atoms

=====

# InTc3Sn (meta-GGA SCAN, PBEsol geometry)
data_InTc3Sn
_chemical_formula_sum 'In1 Tc3 Sn1'
_cell_length_a 4.7844
_cell_length_b 4.7844
_cell_length_c 4.7844
_cell_angle_alpha 90.00
_cell_angle_beta 90.00
_cell_angle_gamma 90.00
_symmetry_space_group_name_H-M 'P m -3 m'
_symmetry_Int_Tables_number 221
_symmetry_space_group_name_Hall '-P 4 2 3'
loop_
_atom_site_label
_atom_site_type_symbol
_atom_site_fract_x
_atom_site_fract_y
_atom_site_fract_z
In1 In 0.0000 0.0000 0.0000
Tc1 Tc 0.0000 0.0000 0.5000
Sn1 Sn 0.5000 0.5000 0.5000
# * N(E_F): 5.41 states/eV per cell
# * crystal system: cubic
# * formation energy: 203.9 kJ per mole of atoms

=====

# TaMo2AsPb (meta-GGA SCAN, PBEsol geometry)
data_TaMo2AsPb
_chemical_formula_sum 'Ta1 Mo2 As1 Pb1'
_cell_length_a 4.7621
_cell_length_b 4.7621
_cell_length_c 5.3004
_cell_angle_alpha 90.00
_cell_angle_beta 90.00
_cell_angle_gamma 90.00
_symmetry_space_group_name_H-M 'P 4/m m m'
_symmetry_Int_Tables_number 123
_symmetry_space_group_name_Hall '-P 4 2'
loop_
_atom_site_label
_atom_site_type_symbol
_atom_site_fract_x
_atom_site_fract_y
_atom_site_fract_z
Ta1 Ta 0.0000 0.0000 0.0000
Mo1 Mo 0.0000 0.5000 0.0000
As1 As 0.5000 0.5000 0.5000
Pb1 Pb 0.0000 0.0000 0.5000
# * N(E_F): 3.76 states/eV per cell
# * crystal system: tetragonal
# * formation energy: 164.7 kJ per mole of atoms

=====

# KSb2IBr (meta-GGA SCAN, PBEsol geometry)
data_KSb2IBr
_chemical_formula_sum 'K1 Sb2 I1 Br1'
_cell_length_a 5.4357
_cell_length_b 5.4357
_cell_length_c 7.3771
_cell_angle_alpha 90.00
_cell_angle_beta 90.00
_cell_angle_gamma 90.00
_symmetry_space_group_name_H-M 'P 4/m m m'
_symmetry_Int_Tables_number 123
_symmetry_space_group_name_Hall '-P 4 2'
loop_
_atom_site_label
_atom_site_type_symbol
_atom_site_fract_x
_atom_site_fract_y
_atom_site_fract_z
K1 K 0.0000 0.0000 0.0000
Sb1 Sb 0.0000 0.5000 0.5000
I1 I 0.5000 0.5000 0.0000
Br1 Br 0.5000 0.5000 0.5000
# * N(E_F): 2.76 states/eV per cell
# * crystal system: tetragonal
# * raw formation energy: 0.153 eV/atom

=====

# GeOsSN2 (meta-GGA SCAN, PBEsol geometry)
data_GeOsSN2
_chemical_formula_sum 'Ge1 Os1 S1 N2'
_cell_length_a 3.7863
_cell_length_b 3.7863
_cell_length_c 5.0448
_cell_angle_alpha 90.00
_cell_angle_beta 90.00
_cell_angle_gamma 90.00
_symmetry_space_group_name_H-M 'P 4/m m m'
_symmetry_Int_Tables_number 123
_symmetry_space_group_name_Hall '-P 4 2'
loop_
_atom_site_label
_atom_site_type_symbol
_atom_site_fract_x
_atom_site_fract_y
_atom_site_fract_z
Ge1 Ge 0.0000 0.0000 0.0000
Os1 Os 0.5000 0.5000 0.5000
S1 S 0.5000 0.5000 0.0000
N1 N 0.0000 0.5000 0.5000
# * N(E_F): 1.84 states/eV per cell
# * crystal system: tetragonal
# * raw formation energy: 0.673 eV/atom

=====

# TlRe2Rh (meta-GGA SCAN, PBEsol geometry)
data_TlRe2Rh
_chemical_formula_sum 'Tl1 Re2 Rh1'
_cell_length_a 2.8589
_cell_length_b 2.8589
_cell_length_c 7.8138
_cell_angle_alpha 90.00
_cell_angle_beta 90.00
_cell_angle_gamma 90.00
_symmetry_space_group_name_H-M 'P 4 m m'
_symmetry_Int_Tables_number 99
_symmetry_space_group_name_Hall 'P 4 -2'
loop_
_atom_site_label
_atom_site_type_symbol
_atom_site_fract_x
_atom_site_fract_y
_atom_site_fract_z
Tl1 Tl 0.0000 0.0000 0.0000
Re1 Re 0.0000 0.0000 0.5027
Re2 Re 0.5000 0.5000 0.2860
Rh1 Rh 0.5000 0.5000 0.7332
# * N(E_F): 3.06 states/eV per cell
# * crystal system: tetragonal
# * energy relative to the lowest polymorph listed for this composition: 0.0000 eV per atom
# * formation energy: 33.8 kJ per mole of atoms

=====

# PmH3 (meta-GGA SCAN, PBEsol geometry)
data_PmH3
_chemical_formula_sum 'Pm4 H12'
_cell_length_a 5.2729
_cell_length_b 5.2729
_cell_length_c 5.2729
_cell_angle_alpha 90.00
_cell_angle_beta 90.00
_cell_angle_gamma 90.00
_symmetry_space_group_name_H-M 'F m -3 m'
_symmetry_Int_Tables_number 225
_symmetry_space_group_name_Hall '-F 4 2 3'
loop_
_atom_site_label
_atom_site_type_symbol
_atom_site_fract_x
_atom_site_fract_y
_atom_site_fract_z
Pm1 Pm 0.0000 0.0000 0.0000
H1 H 0.0000 0.0000 0.5000
H2 H 0.2500 0.2500 0.2500
# * final energy: -14.2209 eV per atom
# * N(E_F): 0.59 states/eV per cell
# * crystal system: cubic